No. 1
BaLuNi: optimized geometry, PBE.

Energy relative to the lowest polymorph listed for this composition = 0 meV per atom
Magnetic moment = 0.0 μB per cell

The structure in CIF format:
```
data_BaLuNi
_cell_length_a 7.116
_cell_length_b 7.116
_cell_length_c 7.116
_cell_angle_alpha 90.00
_cell_angle_beta 90.00
_cell_angle_gamma 90.00
_symmetry_space_group_name_H-M 'F -4 3 m'
_symmetry_Int_Tables_number 216
_symmetry_space_group_name_Hall 'F -4 2 3'
loop_
_atom_site_label
_atom_site_type_symbol
_atom_site_fract_x
_atom_site_fract_y
_atom_site_fract_z
Ba1 Ba 0.000 0.000 0.000
Lu1 Lu 0.000 0.000 0.500
Ni1 Ni 0.250 0.250 0.250
```

---

No. 2
PmTmLu: optimized geometry, PBE.

Energy relative to the lowest polymorph listed for this composition = 0 meV per atom
Magnetic moment = 0.0 μB per cell

The structure in CIF format:
```
data_PmTmLu
_cell_length_a 7.633
_cell_length_b 7.633
_cell_length_c 7.633
_cell_angle_alpha 90.00
_cell_angle_beta 90.00
_cell_angle_gamma 90.00
_symmetry_space_group_name_H-M 'F -4 3 m'
_symmetry_Int_Tables_number 216
_symmetry_space_group_name_Hall 'F -4 2 3'
loop_
_atom_site_label
_atom_site_type_symbol
_atom_site_fract_x
_atom_site_fract_y
_atom_site_fract_z
Pm1 Pm 0.000 0.000 0.000
Tm1 Tm 0.000 0.000 0.500
Lu1 Lu 0.250 0.250 0.250
```

---

No. 3
SmSe2Cl2: optimized geometry, PBE.

Uncorrected energy = -45.8 eV for the cell shown
Magnetic moment = 0.0 μB per cell

The structure in CIF format:
```
data_SmSe2Cl2
_cell_length_a 7.210
_cell_length_b 7.365
_cell_length_c 7.862
_cell_angle_alpha 82.88
_cell_angle_beta 62.73
_cell_angle_gamma 73.34
_symmetry_space_group_name_H-M 'P -1'
_symmetry_Int_Tables_number 2
loop_
_symmetry_equiv_pos_as_xyz
'x,y,z'
'-x,-y,-z'
loop_
_atom_site_label
_atom_site_type_symbol
_atom_site_fract_x
_atom_site_fract_y
_atom_site_fract_z
Sm1 Sm 0.173 0.000 0.155
Se1 Se 0.101 0.731 0.498
Se2 Se 0.273 0.947 0.500
Cl1 Cl 0.031 0.757 0.031
Cl2 Cl 0.435 0.243 0.036
```

---

No. 4
PrNdCu2As4: optimized geometry, PBE.

Uncorrected energy = -42.2 eV for the cell shown
Magnetic moment = 0.0 μB per cell

The structure in CIF format:
```
data_PrNdCu2As4
_cell_length_a 3.998
_cell_length_b 3.998
_cell_length_c 10.175
_cell_angle_alpha 90.00
_cell_angle_beta 90.00
_cell_angle_gamma 90.00
_symmetry_space_group_name_H-M 'P 4 m m'
_symmetry_Int_Tables_number 99
loop_
_symmetry_equiv_pos_as_xyz
'x,y,z'
'-y,x,z'
'-x,-y,z'
'y,-x,z'
'-x,y,z'
'y,x,z'
'x,-y,z'
'-y,-x,z'
loop_
_atom_site_label
_atom_site_type_symbol
_atom_site_fract_x
_atom_site_fract_y
_atom_site_fract_z
Pr1 Pr 0.000 0.000 0.000
Nd1 Nd 0.500 0.500 0.478
Cu1 Cu 0.000 0.500 0.739
As1 As 0.000 0.000 0.588
As2 As 0.000 0.500 0.239
As3 As 0.500 0.500 0.889
```

---

No. 5
Lu3Ir: optimized geometry, PBE.

Uncorrected energy = -100.1 eV for the cell shown
Magnetic moment = 0.0 μB per cell

The structure in CIF format:
```
data_Lu3Ir
_cell_length_a 7.149
_cell_length_b 8.887
_cell_length_c 6.254
_cell_angle_alpha 90.00
_cell_angle_beta 90.00
_cell_angle_gamma 90.00
_symmetry_space_group_name_H-M 'P n m a'
_symmetry_Int_Tables_number 62
loop_
_symmetry_equiv_pos_as_xyz
'x,y,z'
'-x,-y,-z'
'-x+1/2,-y,z+1/2'
'x+1/2,y,-z+1/2'
'x+1/2,-y+1/2,-z+1/2'
'-x+1/2,y+1/2,z+1/2'
'-x,y+1/2,-z'
'x,-y+1/2,z'
loop_
_atom_site_label
_atom_site_type_symbol
_atom_site_fract_x
_atom_site_fract_y
_atom_site_fract_z
Lu1 Lu 0.033 0.250 0.122
Lu2 Lu 0.178 0.061 0.673
Ir1 Ir 0.114 0.750 0.462
```

---

No. 6
MgInSnIr: optimized geometry, PBE.

Energy relative to the lowest polymorph listed for this composition = 0 meV per atom
Magnetic moment = 0.0 μB per cell

The structure in CIF format:
```
data_MgInSnIr
_cell_length_a 6.741
_cell_length_b 6.741
_cell_length_c 6.741
_cell_angle_alpha 90.00
_cell_angle_beta 90.00
_cell_angle_gamma 90.00
_symmetry_space_group_name_H-M 'F -4 3 m'
_symmetry_Int_Tables_number 216
_symmetry_space_group_name_Hall 'F -4 2 3'
loop_
_atom_site_label
_atom_site_type_symbol
_atom_site_fract_x
_atom_site_fract_y
_atom_site_fract_z
Mg1 Mg 0.000 0.000 0.000
In1 In 0.250 0.250 0.750
Sn1 Sn 0.250 0.250 0.250
Ir1 Ir 0.000 0.000 0.500
```

---

No. 7
NaCuMoSe3: optimized geometry, PBE.

Uncorrected energy = -115.9 eV for the cell shown
Magnetic moment = 6.4 μB per cell

The structure in CIF format:
```
data_NaCuMoSe3
_cell_length_a 3.576
_cell_length_b 13.748
_cell_length_c 9.831
_cell_angle_alpha 90.00
_cell_angle_beta 90.00
_cell_angle_gamma 90.00
_symmetry_space_group_name_H-M 'C m c m'
_symmetry_Int_Tables_number 63
_symmetry_space_group_name_Hall '-C 2c 2'
loop_
_atom_site_label
_atom_site_type_symbol
_atom_site_fract_x
_atom_site_fract_y
_atom_site_fract_z
Na1 Na 0.000 0.242 0.250
Cu1 Cu 0.000 0.460 0.750
Mo1 Mo 0.000 0.000 0.000
Se1 Se 0.000 0.078 0.750
Se2 Se 0.000 0.365 0.546
```

---

No. 8
AgSbPO: optimized geometry, PBE.

Energy relative to the lowest polymorph listed for this composition = 0 meV per atom

The structure in CIF format:
```
data_AgSbPO
_cell_length_a 3.833
_cell_length_b 3.833
_cell_length_c 9.147
_cell_angle_alpha 90.00
_cell_angle_beta 90.00
_cell_angle_gamma 90.00
_symmetry_space_group_name_H-M 'P 4/n m m'
_symmetry_Int_Tables_number 129
loop_
_symmetry_equiv_pos_as_xyz
'x,y,z'
'-x,-y,-z'
'-y+1/2,x,z'
'y+1/2,-x,-z'
'-x+1/2,-y+1/2,z'
'x+1/2,y+1/2,-z'
'y,-x+1/2,z'
'-y,x+1/2,-z'
'x+1/2,-y,-z'
'-x+1/2,y,z'
'-y,-x,-z'
'y,x,z'
'-x,y+1/2,-z'
'x,-y+1/2,z'
'y+1/2,x+1/2,-z'
'-y+1/2,-x+1/2,z'
loop_
_atom_site_label
_atom_site_type_symbol
_atom_site_fract_x
_atom_site_fract_y
_atom_site_fract_z
Ag1 Ag 0.250 0.750 0.000
Sb1 Sb 0.250 0.250 0.365
P1 P 0.250 0.250 0.805
O1 O 0.250 0.750 0.500
```